OsN | GGA-PBE | optimized geometry

The energy above the lowest structure with this stoichiometry comes out at 18 meV/atom. The total magnetic moment is 0.00 μB per cell.

It has space group Pm-3m (No. 221), with a = 4.0523 Å, b = 4.0523 Å, c = 4.0523 Å, α = 90.00°, β = 90.00° and γ = 90.00°. The inequivalent atoms are Os at (0.0000, 0.0000, 0.5000) and N at (0.0000, 0.5000, 0.5000).